Entry 1:
CdCo2Tc (PBE-GGA, optimized geometry); space-group type = C2/m (12); DOS(E_F) = 1.2412 states/eV/atom; uncorrected energy = -5.998 eV/atom
1.0
-1.530 -1.783 -3.781
-2.375 -3.330 -1.756
-4.506 2.368 -0.073
Co Tc Cd
2 1 1
Cartesian
-4.294 2.212 -0.103
-4.418 -1.218 -2.775
-6.309 -2.059 -4.207
-2.103 -0.686 -1.402

---

Entry 2:
Li4PdAu3 (PBE-GGA, optimized geometry); space-group type = R-3m (166); DOS(E_F) = 0.3066 states/eV/atom; uncorrected energy = -3.346 eV/atom
1.0
4.185 0.000 1.236
1.910 3.724 1.236
0.040 0.025 7.571
Li Au Pd
4 3 1
Cartesian
3.816 2.331 2.488
2.320 1.418 7.554
0.783 0.478 5.054
5.353 3.270 4.988
1.550 0.947 2.457
3.068 1.874 5.021
4.586 2.802 7.586
0.000 0.000 0.000

---

| no. | total moment (μB/f.u.) |
| --- | --- |
| 1 | 2.25 |
| 2 | 0.00 |